# Cs3TeF

A relaxed structure of Cs3TeF (PBE, Alexandria).

Geometry as extended XYZ:
```
10
Lattice="6.5268 0.0000 0.8367 0.0000 8.1554 0.0000 -1.6426 0.0000 7.8201" Properties=species:S:1:pos:R:3 pbc="T T T"
Te 0.9510 2.0389 2.7442
Te 3.9332 6.1166 5.9125
Cs 0.3743 8.1525 6.8261
Cs 3.8432 2.0389 5.3156
Cs 1.0410 6.1166 3.3411
Cs 4.5099 4.0748 1.8306
Cs 4.5099 0.0030 1.8306
Cs 0.3743 4.0807 6.8261
F 2.5173 6.1166 0.9668
F 2.3669 2.0389 7.6899
```

Summary:
Its formation energy (no corrections) is -1.621 eV/atom. The crystal system is monoclinic. Its space-group type is No. 11. The magnetic moment is 0.00 Bohr magnetons per cell. The density of states at the Fermi level comes out at 0.00 states/eV/atom. The value obtained for the energy relative to the lowest polymorph listed for this composition is 63 meV per atom.